(1)
A plane-wave DFT calculation with PBE was carried out for a relaxed ErNi3H6 crystal.

Results
Total magnetic moment (μB/cell): 0.00
Calculated total energy (eV per atom): -4.487

Lattice parameters (Å, degrees): 4.9480 4.9480 4.9480 54.82 54.82 54.82
Fractional coordinates of all 10 atoms:
Er: 0.0000 0.0000 0.0000
Ni: 0.2280 0.2280 0.2280
Ni: 0.4404 0.4404 0.4404
Ni: 0.7757 0.7757 0.7757
H: 0.0199 0.5318 0.5099
H: 0.1727 0.5265 0.8410
H: 0.5099 0.0199 0.5318
H: 0.5265 0.8410 0.1727
H: 0.5318 0.5099 0.0199
H: 0.8410 0.1727 0.5265

---

(2)
A plane-wave DFT calculation with PBE was carried out for a relaxed BeTcOs2 crystal.

Results
ΔE_f (eV per atom): 0.62
Total magnetic moment (μB/cell): 0.00

Lattice parameters (Å, degrees): 3.7619 3.7619 16.6938 90.00 90.00 90.00
Fractional coordinates of all 16 atoms:
Be: 0.0000 0.0000 0.0000
Be: 0.0000 0.5000 0.2500
Be: 0.5000 0.0000 0.7500
Be: 0.5000 0.5000 0.5000
Tc: 0.0000 0.0000 0.5000
Tc: 0.0000 0.5000 0.7500
Tc: 0.5000 0.0000 0.2500
Tc: 0.5000 0.5000 0.0000
Os: 0.2054 0.2500 0.1250
Os: 0.2500 0.7054 0.3750
Os: 0.2500 0.7946 0.8750
Os: 0.2946 0.2500 0.6250
Os: 0.7054 0.7500 0.6250
Os: 0.7500 0.2054 0.8750
Os: 0.7500 0.2946 0.3750
Os: 0.7946 0.7500 0.1250

---

(3)
A plane-wave DFT calculation with PBE was carried out for a relaxed NiAsRu2 crystal.

Results
ΔE_f (eV per atom): 0.27
Total magnetic moment (μB/cell): 0.00

Lattice parameters (Å, degrees): 2.8046 4.3578 4.5374 90.00 90.00 90.00
Fractional coordinates of all 4 atoms:
Ni: 0.0000 0.0000 0.0000
As: 0.5000 0.0000 0.5000
Ru: 0.0000 0.5000 0.5000
Ru: 0.5000 0.5000 0.0000

---

(4)
A plane-wave DFT calculation with PBE was carried out for a relaxed Sr2NbCu2 crystal.

Results
ΔE to the lowest computed polymorph (meV/atom): 187
ΔE_f (eV per atom): 0.61
Total magnetic moment (μB/cell): 7.12

Lattice parameters (Å, degrees): 6.0097 6.0097 7.8101 90.00 90.00 90.00
Fractional coordinates of all 10 atoms:
Sr: 0.0000 0.5000 0.2500
Sr: 0.0000 0.5000 0.7500
Sr: 0.5000 0.0000 0.2500
Sr: 0.5000 0.0000 0.7500
Nb: 0.0000 0.0000 0.0000
Nb: 0.5000 0.5000 0.5000
Cu: 0.0000 0.0000 0.3464
Cu: 0.0000 0.0000 0.6536
Cu: 0.5000 0.5000 0.1536
Cu: 0.5000 0.5000 0.8464

---

(5)
A plane-wave DFT calculation with PBE was carried out for a relaxed Na4Ce3PuS8 crystal.

Results
Formation energy without anion corrections (meV per atom): -1695
Total magnetic moment (μB/cell): 8.00

Lattice parameters (Å, degrees): 8.1661 8.1661 8.1661 60.47 60.47 60.47
Fractional coordinates of all 16 atoms:
Na: 0.0000 0.0000 0.0000
Na: 0.0000 0.5000 0.5000
Na: 0.5000 0.0000 0.5000
Na: 0.5000 0.5000 0.0000
Ce: 0.0000 0.0000 0.5000
Ce: 0.0000 0.5000 0.0000
Ce: 0.5000 0.0000 0.0000
Pu: 0.5000 0.5000 0.5000
S: 0.2445 0.2445 0.2445
S: 0.2443 0.7427 0.7427
S: 0.2573 0.2573 0.7557
S: 0.2573 0.7557 0.2573
S: 0.7427 0.2443 0.7427
S: 0.7427 0.7427 0.2443
S: 0.7557 0.2573 0.2573
S: 0.7555 0.7555 0.7555

---

(6)
A plane-wave DFT calculation with PBE was carried out for a relaxed Co2MoOs crystal.

Results
ΔE to the lowest computed polymorph (meV/atom): 134
ΔE_f (eV per atom): 0.13
Total magnetic moment (μB/cell): 1.02

Lattice parameters (Å, degrees): 2.6224 2.6224 7.4489 90.00 90.00 90.00
Fractional coordinates of all 4 atoms:
Co: 0.0000 0.0000 0.2385
Co: 0.0000 0.0000 0.7615
Mo: 0.5000 0.5000 0.5000
Os: 0.5000 0.5000 0.0000

---

(7)
A plane-wave DFT calculation with PBE was carried out for a relaxed Na2MgInSb crystal.

Results
Formation energy without anion corrections (meV per atom): 339
Total magnetic moment (μB/cell): 0.00

Lattice parameters (Å, degrees): 5.5768 5.5768 5.2663 90.00 90.00 90.00
Fractional coordinates of all 5 atoms:
Na: 0.0000 0.5000 0.0000
Na: 0.5000 0.0000 0.0000
Mg: 0.0000 0.0000 0.0000
In: 0.0000 0.0000 0.5000
Sb: 0.5000 0.5000 0.5000

---

(8)
A plane-wave DFT calculation with PBE was carried out for a relaxed LiTbPu2Se4 crystal.

Results
Formation energy without anion corrections (meV per atom): -1545
Total magnetic moment (μB/cell): 0.09

Lattice parameters (Å, degrees): 7.0869 4.1185 7.1555 90.00 109.91 90.00
Fractional coordinates of all 8 atoms:
Li: 0.0000 0.0000 0.0000
Tb: 0.0000 0.5000 0.5000
Pu: 0.5000 0.0000 0.5000
Pu: 0.5000 0.5000 0.0000
Se: 0.2400 0.5000 0.2455
Se: 0.2429 0.0000 0.7528
Se: 0.7571 0.0000 0.2472
Se: 0.7600 0.5000 0.7545

---

What are the calculated density values for these records? In order: 7.7; 13.7; 10.1; 4.7; 4.3; 13.1; 3.1; 8.2 g/cm³.